{"formula": "TiZn2RuRh", "functional": "SCAN", "state": "PBEsol geometry", "lattice_angstrom": [[4.526, 0.000, 0.000], [0.000, 4.526, 0.000], [0.000, 0.000, 4.410]], "species": ["Ti", "Zn", "Zn", "Ru", "Rh"], "fractional_positions": [[0.000, 0.000, 0.000], [0.000, 0.500, 0.500], [0.500, 0.000, 0.500], [0.500, 0.500, 0.000], [0.000, 0.000, 0.500]], "magmom_total_mub_per_cell": 1.69, "dft_energy_ev_per_fu": -108.11}



{"formula": "TlRu2Rh", "functional": "SCAN", "state": "PBEsol geometry", "lattice_angstrom": [[5.373, 0.000, 0.000], [0.000, 8.063, 0.000], [0.000, 0.000, 2.810]], "species": ["Tl", "Tl", "Ru", "Ru", "Ru", "Ru", "Rh", "Rh"], "fractional_positions": [[0.000, 0.000, 0.000], [0.500, 0.500, 0.000], [0.250, 0.250, 0.500], [0.250, 0.750, 0.500], [0.750, 0.250, 0.500], [0.750, 0.750, 0.500], [0.000, 0.500, 0.000], [0.500, 0.000, 0.000]], "magmom_total_mub_per_cell": 0.03, "dft_energy_ev_per_fu": -173.25}



{"formula": "Tl2RuRh", "functional": "SCAN", "state": "PBEsol geometry", "lattice_angstrom": [[3.137, 0.000, 0.000], [-1.568, 2.716, 0.000], [0.000, 0.000, 25.058]], "species": ["Tl", "Tl", "Tl", "Tl", "Tl", "Tl", "Ru", "Ru", "Ru", "Rh", "Rh", "Rh"], "fractional_positions": [[0.000, 0.000, 0.249], [0.000, 0.000, 0.751], [0.333, 0.667, 0.417], [0.333, 0.667, 0.916], [0.667, 0.333, 0.084], [0.667, 0.333, 0.583], [0.000, 0.000, 0.000], [0.333, 0.667, 0.667], [0.667, 0.333, 0.333], [0.000, 0.000, 0.500], [0.333, 0.667, 0.167], [0.667, 0.333, 0.833]], "magmom_total_mub_per_cell": 0.00, "relative_energy_ev_per_atom": 0.031, "dft_energy_ev_per_fu": -211.34}



{"formula": "Tl2RuRh", "functional": "SCAN", "state": "PBEsol geometry", "lattice_angstrom": [[4.366, 0.000, 0.000], [0.000, 3.268, 0.000], [0.000, 0.000, 10.112]], "species": ["Tl", "Tl", "Tl", "Tl", "Ru", "Ru", "Rh", "Rh"], "fractional_positions": [[0.000, 0.000, 0.000], [0.000, 0.500, 0.500], [0.500, 0.000, 0.283], [0.500, 0.500, 0.783], [0.000, 0.000, 0.728], [0.000, 0.500, 0.228], [0.500, 0.000, 0.557], [0.500, 0.500, 0.057]], "magmom_total_mub_per_cell": 0.00, "relative_energy_ev_per_atom": 0.000, "dft_energy_ev_per_fu": -211.46}



{"formula": "YRu2Rh", "functional": "SCAN", "state": "PBEsol geometry", "lattice_angstrom": [[2.871, 0.000, 0.000], [0.000, 4.327, 0.000], [-1.027, 0.000, 5.163]], "species": ["Y", "Ru", "Ru", "Rh"], "fractional_positions": [[0.000, 0.000, 0.000], [0.241, 0.500, 0.642], [0.628, 0.000, 0.499], [0.568, 0.500, 0.210]], "magmom_total_mub_per_cell": 0.00, "dft_energy_ev_per_fu": -131.42}



{"formula": "YRuRh", "functional": "SCAN", "state": "PBEsol geometry", "lattice_angstrom": [[3.325, 0.000, 0.000], [0.000, 3.325, 0.000], [0.000, 0.000, 9.649]], "species": ["Y", "Y", "Ru", "Ru", "Rh", "Rh"], "fractional_positions": [[0.000, 0.000, 0.000], [0.500, 0.500, 0.500], [0.000, 0.000, 0.307], [0.500, 0.500, 0.807], [0.000, 0.000, 0.694], [0.500, 0.500, 0.194]], "magmom_total_mub_per_cell": 2.17, "relative_energy_ev_per_atom": 0.000, "dft_energy_ev_per_fu": -96.70}



{"formula": "YRuRh", "functional": "SCAN", "state": "PBEsol geometry", "lattice_angstrom": [[6.166, 0.000, 0.000], [0.000, 6.166, 0.000], [0.000, 0.000, 6.166]], "species": ["Y", "Y", "Y", "Y", "Ru", "Ru", "Ru", "Ru", "Rh", "Rh", "Rh", "Rh"], "fractional_positions": [[0.000, 0.000, 0.000], [0.000, 0.500, 0.500], [0.500, 0.000, 0.500], [0.500, 0.500, 0.000], [0.250, 0.250, 0.750], [0.250, 0.750, 0.250], [0.750, 0.250, 0.250], [0.750, 0.750, 0.750], [0.250, 0.250, 0.250], [0.250, 0.750, 0.750], [0.750, 0.250, 0.750], [0.750, 0.750, 0.250]], "magmom_total_mub_per_cell": 0.02, "relative_energy_ev_per_atom": 0.730, "dft_energy_ev_per_fu": -94.50}



{"formula": "YRuRh", "functional": "SCAN", "state": "PBEsol geometry", "lattice_angstrom": [[3.069, 0.000, 0.000], [-1.534, 2.658, 0.000], [0.000, 0.000, 6.435]], "species": ["Y", "Ru", "Rh"], "fractional_positions": [[0.000, 0.000, 0.000], [0.667, 0.333, 0.347], [0.333, 0.667, 0.651]], "magmom_total_mub_per_cell": 0.00, "relative_energy_ev_per_atom": 0.456, "dft_energy_ev_per_fu": -95.33}



{"formula": "ZnRuRh2", "functional": "SCAN", "state": "PBEsol geometry", "lattice_angstrom": [[2.684, 0.000, 0.000], [-1.342, 2.324, 0.000], [0.000, 0.000, 25.681]], "species": ["Zn", "Zn", "Zn", "Ru", "Ru", "Ru", "Rh", "Rh", "Rh", "Rh", "Rh", "Rh"], "fractional_positions": [[0.000, 0.000, 0.000], [0.333, 0.667, 0.667], [0.667, 0.333, 0.333], [0.000, 0.000, 0.249], [0.333, 0.667, 0.916], [0.667, 0.333, 0.582], [0.000, 0.000, 0.501], [0.000, 0.000, 0.748], [0.333, 0.667, 0.168], [0.333, 0.667, 0.415], [0.667, 0.333, 0.082], [0.667, 0.333, 0.834]], "magmom_total_mub_per_cell": 0.00, "dft_energy_ev_per_fu": -116.02}



{"formula": "ZnRuRh2", "functional": "SCAN", "state": "PBEsol geometry", "lattice_angstrom": [[8.772, 0.000, 0.000], [0.000, 2.670, 0.000], [-0.750, 0.000, 4.551]], "species": ["Zn", "Zn", "Ru", "Ru", "Rh", "Rh", "Rh", "Rh"], "fractional_positions": [[0.000, 0.000, 0.000], [0.500, 0.500, 0.000], [0.000, 0.500, 0.500], [0.500, 0.000, 0.500], [0.247, 0.000, 0.747], [0.253, 0.500, 0.253], [0.747, 0.500, 0.747], [0.753, 0.000, 0.253]], "magmom_total_mub_per_cell": 1.01, "dft_energy_ev_per_fu": -116.10}



{"formula": "ZnRuRh2", "functional": "SCAN", "state": "PBEsol geometry", "lattice_angstrom": [[2.705, 0.000, 0.000], [0.000, 2.705, 0.000], [0.000, 0.000, 7.246]], "species": ["Zn", "Ru", "Rh", "Rh"], "fractional_positions": [[0.000, 0.000, 0.000], [0.000, 0.000, 0.500], [0.500, 0.500, 0.251], [0.500, 0.500, 0.749]], "magmom_total_mub_per_cell": 0.00, "dft_energy_ev_per_fu": -116.54}



{"formula": "ZrRuRh2", "functional": "SCAN", "state": "PBEsol geometry", "lattice_angstrom": [[2.829, 0.000, 0.000], [0.000, 3.810, 0.000], [0.000, 0.000, 5.577]], "species": ["Zr", "Ru", "Rh", "Rh"], "fractional_positions": [[0.000, 0.000, 0.000], [0.000, 0.000, 0.500], [0.500, 0.500, 0.268], [0.500, 0.500, 0.732]], "magmom_total_mub_per_cell": 0.00, "dft_energy_ev_per_fu": -134.60}



{"formula": "Zr2RuRh", "functional": "SCAN", "state": "PBEsol geometry", "lattice_angstrom": [[3.222, 0.000, 0.000], [0.000, 3.222, 0.000], [0.000, 0.000, 6.547]], "species": ["Zr", "Zr", "Ru", "Rh"], "fractional_positions": [[0.000, 0.000, 0.248], [0.000, 0.000, 0.752], [0.500, 0.500, 0.000], [0.500, 0.500, 0.500]], "magmom_total_mub_per_cell": 0.00, "dft_energy_ev_per_fu": -133.36}



{"formula": "Rh17S15", "functional": "SCAN", "state": "PBEsol geometry", "lattice_angstrom": [[9.832, 0.000, 0.000], [0.000, 9.832, 0.000], [0.000, 0.000, 9.832]], "species": ["Rh", "Rh", "Rh", "Rh", "Rh", "Rh", "Rh", "Rh", "Rh", "Rh", "Rh", "Rh", "Rh", "Rh", "Rh", "Rh", "Rh", "Rh", "Rh", "Rh", "Rh", "Rh", "Rh", "Rh", "Rh", "Rh", "Rh", "Rh", "Rh", "Rh", "Rh", "Rh", "Rh", "Rh", "S", "S", "S", "S", "S", "S", "S", "S", "S", "S", "S", "S", "S", "S", "S", "S", "S", "S", "S", "S", "S", "S", "S", "S", "S", "S", "S", "S", "S", "S"], "fractional_positions": [[0.000, 0.000, 0.000], [0.000, 0.500, 0.500], [0.142, 0.142, 0.358], [0.142, 0.142, 0.642], [0.142, 0.358, 0.142], [0.142, 0.358, 0.858], [0.142, 0.642, 0.142], [0.142, 0.642, 0.858], [0.142, 0.858, 0.358], [0.142, 0.858, 0.642], [0.263, 0.500, 0.500], [0.358, 0.142, 0.142], [0.358, 0.142, 0.858], [0.358, 0.858, 0.142], [0.358, 0.858, 0.858], [0.500, 0.000, 0.500], [0.500, 0.263, 0.500], [0.500, 0.500, 0.000], [0.500, 0.500, 0.263], [0.500, 0.500, 0.737], [0.500, 0.737, 0.500], [0.642, 0.142, 0.142], [0.642, 0.142, 0.858], [0.642, 0.858, 0.142], [0.642, 0.858, 0.858], [0.737, 0.500, 0.500], [0.858, 0.142, 0.358], [0.858, 0.142, 0.642], [0.858, 0.358, 0.142], [0.858, 0.358, 0.858], [0.858, 0.642, 0.142], [0.858, 0.642, 0.858], [0.858, 0.858, 0.358], [0.858, 0.858, 0.642], [0.000, 0.000, 0.236], [0.000, 0.000, 0.764], [0.000, 0.236, 0.000], [0.000, 0.331, 0.331], [0.000, 0.331, 0.669], [0.000, 0.669, 0.331], [0.000, 0.669, 0.669], [0.000, 0.764, 0.000], [0.236, 0.000, 0.000], [0.271, 0.271, 0.500], [0.271, 0.500, 0.271], [0.271, 0.500, 0.729], [0.271, 0.729, 0.500], [0.331, 0.000, 0.331], [0.331, 0.000, 0.669], [0.331, 0.331, 0.000], [0.331, 0.669, 0.000], [0.500, 0.271, 0.271], [0.500, 0.271, 0.729], [0.500, 0.729, 0.271], [0.500, 0.729, 0.729], [0.669, 0.000, 0.331], [0.669, 0.000, 0.669], [0.669, 0.331, 0.000], [0.669, 0.669, 0.000], [0.729, 0.271, 0.500], [0.729, 0.500, 0.271], [0.729, 0.500, 0.729], [0.729, 0.729, 0.500], [0.764, 0.000, 0.000]], "raw_formation_energy_ev_per_atom": -0.55, "magmom_total_mub_per_cell": 0.00, "dft_energy_ev_per_fu": -736.11}



{"formula": "RhS2", "functional": "SCAN", "state": "PBEsol geometry", "lattice_angstrom": [[5.657, 0.000, 0.000], [0.000, 5.657, 0.000], [0.000, 0.000, 5.657]], "species": ["Rh", "Rh", "Rh", "Rh", "S", "S", "S", "S", "S", "S", "S", "S"], "fractional_positions": [[0.000, 0.000, 0.000], [0.000, 0.500, 0.500], [0.500, 0.000, 0.500], [0.500, 0.500, 0.000], [0.114, 0.614, 0.886], [0.114, 0.886, 0.386], [0.386, 0.114, 0.886], [0.386, 0.386, 0.386], [0.614, 0.614, 0.614], [0.614, 0.886, 0.114], [0.886, 0.114, 0.614], [0.886, 0.386, 0.114]], "raw_formation_energy_ev_per_atom": -0.46, "magmom_total_mub_per_cell": 0.00, "dft_energy_ev_per_fu": -54.40}



{"formula": "Rh3S4", "functional": "SCAN", "state": "PBEsol geometry", "lattice_angstrom": [[5.147, -5.350, 0.000], [5.147, 5.350, 0.000], [-1.911, 0.000, 5.911]], "species": ["Rh", "Rh", "Rh", "Rh", "Rh", "Rh", "Rh", "Rh", "Rh", "S", "S", "S", "S", "S", "S", "S", "S", "S", "S", "S", "S"], "fractional_positions": [[0.000, 0.000, 0.000], [0.161, 0.839, 0.500], [0.216, 0.508, 0.951], [0.350, 0.350, 0.553], [0.492, 0.784, 0.049], [0.508, 0.216, 0.951], [0.650, 0.650, 0.447], [0.784, 0.492, 0.049], [0.839, 0.161, 0.500], [0.033, 0.716, 0.114], [0.118, 0.118, 0.388], [0.142, 0.560, 0.601], [0.284, 0.967, 0.886], [0.415, 0.415, 0.228], [0.440, 0.858, 0.399], [0.560, 0.142, 0.601], [0.585, 0.585, 0.772], [0.716, 0.033, 0.114], [0.858, 0.440, 0.399], [0.882, 0.882, 0.612], [0.967, 0.284, 0.886]], "raw_formation_energy_ev_per_atom": -0.63, "magmom_total_mub_per_cell": 0.00, "dft_energy_ev_per_fu": -144.22}



{"formula": "Sb2TeRhS", "functional": "SCAN", "state": "PBEsol geometry", "lattice_angstrom": [[5.012, 0.000, 0.000], [0.000, 5.012, 0.000], [0.000, 0.000, 5.171]], "species": ["Sb", "Sb", "Te", "Rh", "S"], "fractional_positions": [[0.000, 0.500, 0.000], [0.500, 0.000, 0.000], [0.000, 0.000, 0.500], [0.000, 0.000, 0.000], [0.500, 0.500, 0.500]], "raw_formation_energy_ev_per_atom": 0.49, "magmom_total_mub_per_cell": 0.00, "relative_energy_ev_per_atom": 0.353, "dft_energy_ev_per_fu": -152.74}



{"formula": "Sb2TeRhS", "functional": "SCAN", "state": "PBEsol geometry", "lattice_angstrom": [[5.324, 0.000, 0.000], [0.000, 5.324, 0.000], [0.000, 0.000, 4.279]], "species": ["Sb", "Sb", "Te", "Rh", "S"], "fractional_positions": [[0.000, 0.500, 0.000], [0.500, 0.000, 0.000], [0.000, 0.000, 0.500], [0.500, 0.500, 0.000], [0.500, 0.500, 0.500]], "raw_formation_energy_ev_per_atom": 0.13, "magmom_total_mub_per_cell": 0.00, "relative_energy_ev_per_atom": 0.000, "dft_energy_ev_per_fu": -154.51}



{"formula": "Sc2TlRhS", "functional": "SCAN", "state": "PBEsol geometry", "lattice_angstrom": [[4.745, 0.000, 0.000], [0.000, 4.745, 0.000], [0.000, 0.000, 4.404]], "species": ["Sc", "Sc", "Tl", "Rh", "S"], "fractional_positions": [[0.000, 0.500, 0.000], [0.500, 0.000, 0.000], [0.000, 0.000, 0.500], [0.500, 0.500, 0.500], [0.500, 0.500, 0.000]], "raw_formation_energy_ev_per_atom": -0.76, "magmom_total_mub_per_cell": 0.00, "dft_energy_ev_per_fu": -148.03}



{"formula": "RhSeS2", "functional": "SCAN", "state": "PBEsol geometry", "lattice_angstrom": [[3.485, 0.000, 0.000], [-1.743, 3.018, 0.000], [0.000, 0.000, 21.713]], "species": ["Rh", "Rh", "Rh", "Se", "Se", "Se", "S", "S", "S", "S", "S", "S"], "fractional_positions": [[0.000, 0.000, 0.000], [0.333, 0.667, 0.667], [0.667, 0.333, 0.333], [0.000, 0.000, 0.500], [0.333, 0.667, 0.167], [0.667, 0.333, 0.833], [0.000, 0.000, 0.388], [0.000, 0.000, 0.612], [0.333, 0.667, 0.055], [0.333, 0.667, 0.278], [0.667, 0.333, 0.722], [0.667, 0.333, 0.945]], "raw_formation_energy_ev_per_atom": -0.28, "magmom_total_mub_per_cell": 0.00, "dft_energy_ev_per_fu": -74.23}



{"formula": "SrRhS3", "functional": "SCAN", "state": "PBEsol geometry", "lattice_angstrom": [[5.341, 0.000, 0.000], [0.000, 5.341, 0.000], [0.000, 0.000, 5.341]], "species": ["Sr", "Rh", "S", "S", "S"], "fractional_positions": [[0.000, 0.000, 0.000], [0.500, 0.500, 0.500], [0.000, 0.000, 0.500], [0.000, 0.500, 0.000], [0.500, 0.000, 0.000]], "raw_formation_energy_ev_per_atom": 0.89, "magmom_total_mub_per_cell": 5.00, "dft_energy_ev_per_fu": -80.49}



{"formula": "Ta3RhS", "functional": "SCAN", "state": "PBEsol geometry", "lattice_angstrom": [[4.748, 0.000, 0.000], [0.000, 4.748, 0.000], [0.000, 0.000, 4.748]], "species": ["Ta", "Ta", "Ta", "Rh", "S"], "fractional_positions": [[0.000, 0.000, 0.500], [0.000, 0.500, 0.000], [0.500, 0.000, 0.000], [0.000, 0.000, 0.000], [0.500, 0.500, 0.500]], "raw_formation_energy_ev_per_atom": 1.29, "magmom_total_mub_per_cell": 0.00, "dft_energy_ev_per_fu": -236.71}



{"formula": "TcRh3S", "functional": "SCAN", "state": "PBEsol geometry", "lattice_angstrom": [[4.297, 0.000, 0.000], [0.000, 4.297, 0.000], [0.000, 0.000, 4.297]], "species": ["Tc", "Rh", "Rh", "Rh", "S"], "fractional_positions": [[0.000, 0.000, 0.000], [0.000, 0.500, 0.500], [0.500, 0.000, 0.500], [0.500, 0.500, 0.000], [0.500, 0.500, 0.500]], "raw_formation_energy_ev_per_atom": 0.50, "magmom_total_mub_per_cell": 5.72, "dft_energy_ev_per_fu": -143.52}



{"formula": "TeRhS2", "functional": "SCAN", "state": "PBEsol geometry", "lattice_angstrom": [[3.534, 0.000, 0.000], [-1.767, 3.061, 0.000], [0.000, 0.000, 22.793]], "species": ["Te", "Te", "Te", "Rh", "Rh", "Rh", "S", "S", "S", "S", "S", "S"], "fractional_positions": [[0.000, 0.000, 0.000], [0.333, 0.667, 0.667], [0.667, 0.333, 0.333], [0.000, 0.000, 0.500], [0.333, 0.667, 0.167], [0.667, 0.333, 0.833], [0.000, 0.000, 0.116], [0.000, 0.000, 0.884], [0.333, 0.667, 0.551], [0.333, 0.667, 0.782], [0.667, 0.333, 0.218], [0.667, 0.333, 0.449]], "raw_formation_energy_ev_per_atom": -0.36, "magmom_total_mub_per_cell": 0.00, "dft_energy_ev_per_fu": -91.73}



{"formula": "TeRhS3", "functional": "SCAN", "state": "PBEsol geometry", "lattice_angstrom": [[4.918, 0.000, 0.000], [0.000, 4.918, 0.000], [0.000, 0.000, 4.918]], "species": ["Te", "Rh", "S", "S", "S"], "fractional_positions": [[0.000, 0.000, 0.000], [0.500, 0.500, 0.500], [0.000, 0.000, 0.500], [0.000, 0.500, 0.000], [0.500, 0.000, 0.000]], "raw_formation_energy_ev_per_atom": 1.10, "magmom_total_mub_per_cell": 2.88, "dft_energy_ev_per_fu": -94.40}